Density functional theory data (SCAN) for NaCaAlH2OF6 at its PBEsol-relaxed geometry.

Cell lengths 12.097, 10.350, 9.823 Å; angles 90.00, 127.47, 90.00 degrees
Space group C2/c (No. 15)
Asymmetric unit:
Na 0.115 0.121 0.493 [8 per cell]
Ca 0.000 0.187 0.750 [4 per cell]
Ca 0.000 0.424 0.250 [4 per cell]
Al 0.223 0.123 0.256 [8 per cell]
H 0.125 0.398 0.038 [8 per cell]
H 0.204 0.384 0.957 [8 per cell]
O 0.110 0.378 0.929 [8 per cell]
F 0.088 0.240 0.198 [8 per cell]
F 0.101 0.000 0.220 [8 per cell]
F 0.153 0.107 0.029 [8 per cell]
F 0.154 0.496 0.199 [8 per cell]
F 0.161 0.252 0.714 [8 per cell]
F 0.200 0.366 0.519 [8 per cell]

The crystal system is monoclinic. The value obtained for the raw total energy is -7.783 eV/atom.

---

Density functional theory data (SCAN) for NaCaAlH2OF6 at its PBEsol-relaxed geometry.

Cell lengths 5.565, 5.478, 16.095 Å; angles 90.00, 95.55, 90.00 degrees
Space group P2_1/c (No. 14)
Asymmetric unit:
Na 0.245 0.125 0.253 [4 per cell]
Ca 0.309 0.660 0.403 [4 per cell]
Al 0.222 0.662 0.139 [4 per cell]
H 0.195 0.092 0.053 [4 per cell]
H 0.253 0.172 0.502 [4 per cell]
O 0.298 0.154 0.010 [4 per cell]
F 0.055 0.546 0.624 [4 per cell]
F 0.056 0.509 0.873 [4 per cell]
F 0.183 0.687 0.250 [4 per cell]
F 0.251 0.642 0.029 [4 per cell]
F 0.411 0.103 0.660 [4 per cell]
F 0.492 0.648 0.656 [4 per cell]

The crystal system is monoclinic. The value obtained for the raw total energy is -7.783 eV/atom.

---

Density functional theory data (SCAN) for NaCa2Al2P2H5O11F4 at its PBEsol-relaxed geometry.

Cell lengths 5.428, 10.654, 9.451 Å; angles 90.00, 105.62, 90.00 degrees
Space group P2_1/m (No. 11)
Asymmetric unit:
Na 0.204 0.250 0.186 [2 per cell]
Ca 0.245 0.581 0.645 [4 per cell]
Al 0.219 0.593 0.240 [4 per cell]
P 0.356 0.750 0.989 [2 per cell]
P 0.370 0.250 0.547 [2 per cell]
H 0.034 0.750 0.363 [2 per cell]
H 0.177 0.521 0.940 [4 per cell]
H 0.231 0.124 0.896 [4 per cell]
O 0.078 0.250 0.477 [2 per cell]
O 0.100 0.750 0.273 [2 per cell]
O 0.136 0.042 0.856 [4 per cell]
O 0.239 0.750 0.820 [2 per cell]
O 0.254 0.633 0.053 [4 per cell]
O 0.351 0.250 0.970 [2 per cell]
O 0.444 0.131 0.647 [4 per cell]
O 0.483 0.750 0.572 [2 per cell]
F 0.141 0.529 0.404 [4 per cell]
F 0.339 0.059 0.211 [4 per cell]

The crystal system is monoclinic. The value obtained for the raw total energy is -8.618 eV/atom.

---

Density functional theory data (SCAN) for NaCaAlF6 at its PBEsol-relaxed geometry.

Cell lengths 8.715, 5.185, 20.278 Å; angles 90.00, 91.96, 90.00 degrees
Space group P2_1/c (No. 14)
Asymmetric unit:
Na 0.024 0.242 0.319 [4 per cell]
Na 0.043 0.207 0.063 [4 per cell]
Ca 0.362 0.240 0.689 [4 per cell]
Ca 0.366 0.186 0.936 [4 per cell]
Al 0.256 0.689 0.073 [4 per cell]
Al 0.256 0.747 0.320 [4 per cell]
F 0.080 0.721 0.533 [4 per cell]
F 0.094 0.638 0.775 [4 per cell]
F 0.155 0.553 0.382 [4 per cell]
F 0.161 0.010 0.633 [4 per cell]
F 0.234 0.534 0.627 [4 per cell]
F 0.241 0.022 0.374 [4 per cell]
F 0.254 0.043 0.771 [4 per cell]
F 0.267 0.097 0.520 [4 per cell]
F 0.377 0.633 0.517 [4 per cell]
F 0.394 0.591 0.766 [4 per cell]
F 0.430 0.624 0.364 [4 per cell]
F 0.435 0.599 0.116 [4 per cell]

The crystal system is monoclinic. For the energy above the most stable polymorph in this dataset, the calculation gives 5.1 meV per atom. Its uncorrected formation energy is -34.0 eV/f.u.

---

Density functional theory data (SCAN) for NaCaAlF6 at its PBEsol-relaxed geometry.

Cell lengths 8.9358, 8.9358, 5.0489 Å; angles 90.00, 90.00, 120.00 degrees
Space group P321 (No. 150)
Asymmetric unit:
Na 0.0000 0.7117 0.0000 [3 per cell]
Ca 0.0000 0.3712 0.5000 [3 per cell]
Al 0.0000 0.0000 0.5000 [1 per cell]
Al 0.3333 0.6667 0.9979 [2 per cell]
F 0.0848 0.1943 0.7013 [6 per cell]
F 0.1425 0.5885 0.7888 [6 per cell]
F 0.2228 0.4755 0.2069 [6 per cell]

The crystal system is trigonal. For the energy above the most stable polymorph in this dataset, the calculation gives 0.0 meV per atom. Its uncorrected formation energy is -34.1 eV/f.u.

---

Density functional theory data (SCAN) for Na2Ca3Al2F14 at its PBEsol-relaxed geometry.

Cell lengths 10.202, 10.202, 10.202 Å; angles 90.00, 90.00, 90.00 degrees
Space group I2_13 (No. 199)
Asymmetric unit:
Na 0.085 0.085 0.085 [8 per cell]
Ca 0.000 0.250 0.465 [12 per cell]
Al 0.248 0.248 0.248 [8 per cell]
F 0.040 0.460 0.540 [8 per cell]
F 0.119 0.137 0.307 [24 per cell]
F 0.135 0.364 0.814 [24 per cell]

The crystal system is cubic. Its uncorrected formation energy is -80.8 eV/f.u.

---

Density functional theory data (SCAN) for NaCaAlOF6 at its PBEsol-relaxed geometry.

Cell lengths 5.536, 5.627, 16.264 Å; angles 90.00, 92.48, 90.00 degrees
Space group P2_1/c (No. 14)
Asymmetric unit:
Na 0.243 0.188 0.252 [4 per cell]
Ca 0.239 0.737 0.110 [4 per cell]
Al 0.271 0.721 0.364 [4 per cell]
O 0.084 0.071 0.497 [4 per cell]
F 0.003 0.094 0.652 [4 per cell]
F 0.083 0.045 0.846 [4 per cell]
F 0.267 0.675 0.473 [4 per cell]
F 0.297 0.743 0.251 [4 per cell]
F 0.440 0.501 0.873 [4 per cell]
F 0.450 0.057 0.138 [4 per cell]

The crystal system is monoclinic. Its uncorrected formation energy is -33.4 eV/f.u.

---

Density functional theory data (SCAN) for Ca2AlPbOF8 at its PBEsol-relaxed geometry.

Cell lengths 5.649, 5.684, 12.760 Å; angles 97.29, 90.47, 100.54 degrees
Space group P1 (No. 1)
Asymmetric unit:
Ca 0.000 0.000 0.000 [1 per cell]
Ca 0.014 0.738 0.545 [1 per cell]
Ca 0.539 0.034 0.187 [1 per cell]
Ca 0.558 0.814 0.729 [1 per cell]
Al 0.197 0.403 0.262 [1 per cell]
Al 0.363 0.337 0.462 [1 per cell]
Pb 0.065 0.305 0.718 [1 per cell]
Pb 0.509 0.503 0.981 [1 per cell]
O 0.266 0.467 0.601 [1 per cell]
O 0.397 0.258 0.323 [1 per cell]
F 0.144 0.512 0.412 [1 per cell]
F 0.180 0.188 0.867 [1 per cell]
F 0.243 0.985 0.682 [1 per cell]
F 0.252 0.278 0.128 [1 per cell]
F 0.260 0.617 0.818 [1 per cell]
F 0.265 0.041 0.485 [1 per cell]
F 0.293 0.698 0.243 [1 per cell]
F 0.307 0.829 0.040 [1 per cell]
F 0.640 0.532 0.489 [1 per cell]
F 0.727 0.223 0.050 [1 per cell]
F 0.745 0.767 0.880 [1 per cell]
F 0.748 0.207 0.803 [1 per cell]
F 0.768 0.773 0.106 [1 per cell]
F 0.808 0.026 0.612 [1 per cell]
F 0.835 0.569 0.683 [1 per cell]
F 0.899 0.264 0.254 [1 per cell]

The crystal system is triclinic. Its uncorrected formation energy is -43.3 eV/f.u.

---

So what do the calculations give for total magnetization? Going down the list: 0.005, 0.004, 0.004, 0.009, 0.000, 0.000, 0.100, 0.002 μB per atom.